1.
First-principles (PBE) data for a geometry-optimized HfThInAg structure, as listed in Alexandria via LeMat-Bulk.

Total moment ... 0.00 μB/f.u.
Formation energy from the elements ... 0.01 eV/atom
Density of states at the Fermi level ... 0.540 states/eV per atom

Structure (POSCAR):
```
HfThInAg
1.0
5.1780 0.0000 0.0000
2.5890 4.4843 0.0000
2.5890 1.4948 4.2278
Hf Ag Th In
1 1 1 1
Direct
0.0000 0.0000 0.0000
0.2500 0.2500 0.2500
0.5000 0.5000 0.5000
0.7500 0.7500 0.7500
```

***

2.
First-principles (PBE) data for a geometry-optimized RbI2Br structure, as listed in Alexandria via LeMat-Bulk.

Total moment ... 0.00 μB/f.u.
Formation energy without anion corrections ... -0.48 eV per atom
Density of states at the Fermi level ... 1.437 states/eV per atom

Structure (POSCAR):
```
RbI2Br
1.0
6.6447 0.0000 0.0000
0.0000 6.6447 0.0000
3.3224 3.3224 10.0061
I Br Rb
4 2 2
Direct
0.5363 0.1250 0.2500
0.2137 0.6250 0.2500
0.3750 0.4637 0.7500
0.8750 0.7863 0.7500
0.5000 0.5000 0.0000
0.2500 0.7500 0.5000
0.0000 0.0000 0.0000
0.7500 0.2500 0.5000
```

***

3.
First-principles (PBE) data for a geometry-optimized LiTc3Pd structure, as listed in Alexandria via LeMat-Bulk.

Total moment ... 6.62 μB/f.u.
Formation energy from the elements ... 2.03 eV/atom
Density of states at the Fermi level ... 1.867 states/eV per atom

Structure (POSCAR):
```
LiTc3Pd
1.0
4.8178 0.0000 0.0000
0.0000 4.8178 0.0000
0.0000 0.0000 4.8178
Tc Pd Li
3 1 1
Direct
0.0000 0.5000 0.0000
0.0000 0.0000 0.5000
0.5000 0.0000 0.0000
0.0000 0.0000 0.0000
0.5000 0.5000 0.5000
```

***

no.,V (A^3/atom)
1,24.542
2,55.224
3,22.365